Record 1
DFT (SCAN) results for a crystal of GaCuRe3 relaxed with PBEsol.

The energy relative to the elements is 2111 meV per atom. The crystal system is cubic.

The space group is Pm-3m (No. 221) and the conventional cell measures 4.401, 4.401 and 4.401 Å, with angles of 90.00, 90.00 and 90.00 degrees. The distinct sites, in fractional coordinates, are Ga at (0.000, 0.000, 0.000), Cu at (0.500, 0.500, 0.500) and Re at (0.000, 0.500, 0.500).

---

Record 2
DFT (SCAN) results for a crystal of Ti2H2Pt relaxed with PBEsol.

For the total energy, the calculation gives -22.59 eV/atom. The crystal system is tetragonal.

The space group is I4/mmm (No. 139) and the conventional cell measures 2.854, 2.854 and 12.393 Å, with angles of 90.00, 90.00 and 90.00 degrees. The distinct sites, in fractional coordinates, are Ti at (0.000, 0.000, 0.151), H at (0.000, 0.500, 0.250) and Pt at (0.000, 0.000, 0.500).

---

Record 3
DFT (SCAN) results for a crystal of Y3BPd relaxed with PBEsol.

The energy relative to the elements is -176 meV per atom. The crystal system is cubic.

The space group is Pm-3m (No. 221) and the conventional cell measures 4.900, 4.900 and 4.900 Å, with angles of 90.00, 90.00 and 90.00 degrees. The distinct sites, in fractional coordinates, are Y at (0.000, 0.000, 0.500), B at (0.000, 0.000, 0.000) and Pd at (0.500, 0.500, 0.500).

---

Record 4
DFT (SCAN) results for a crystal of MnReSe relaxed with PBEsol.

The crystal system is cubic. As for the uncorrected formation energy: 620 meV/atom.

The space group is F-43m (No. 216) and the conventional cell measures 5.679, 5.679 and 5.679 Å, with angles of 90.00, 90.00 and 90.00 degrees. The distinct sites, in fractional coordinates, are Mn at (0.000, 0.000, 0.000), Re at (0.000, 0.000, 0.500) and Se at (0.250, 0.250, 0.750).

---

Record 5
DFT (SCAN) results for a crystal of BaCaAsRh2 relaxed with PBEsol.

The energy relative to the elements is 482 meV per atom. The crystal system is tetragonal.

The space group is P4/mmm (No. 123) and the conventional cell measures 4.855, 4.855 and 5.352 Å, with angles of 90.00, 90.00 and 90.00 degrees. The distinct sites, in fractional coordinates, are Ba at (0.000, 0.000, 0.000), Ca at (0.500, 0.500, 0.500), As at (0.500, 0.500, 0.000) and Rh at (0.000, 0.500, 0.500).

---

Record 6
DFT (SCAN) results for a crystal of CrIrRh relaxed with PBEsol.

The energy relative to the elements is -150 meV per atom. The crystal system is orthorhombic.

The space group is Imm2 (No. 44) and the conventional cell measures 2.640, 3.684 and 8.004 Å, with angles of 90.00, 90.00 and 90.00 degrees. The distinct sites, in fractional coordinates, are Cr at (0.000, 0.000, 0.000), Ir at (0.000, 0.000, 0.657) and Rh at (0.000, 0.000, 0.333).

---

Record 7
DFT (SCAN) results for a crystal of ZnCo2Ir relaxed with PBEsol.

The energy relative to the elements is 2 meV per atom. The crystal system is orthorhombic.

The space group is Pmm2 (No. 25) and the conventional cell measures 2.629, 3.520 and 5.221 Å, with angles of 90.00, 90.00 and 90.00 degrees. The distinct sites, in fractional coordinates, are Zn at (0.000, 0.000, 0.000), Co at (0.000, 0.000, 0.475), Co at (0.500, 0.500, 0.246) and Ir at (0.500, 0.500, 0.728).

---

Record 8
DFT (SCAN) results for a crystal of BeZnNi6 relaxed with PBEsol.

The energy relative to the elements is -136 meV per atom. The crystal system is orthorhombic.

The space group is Cmmm (No. 65) and the conventional cell measures 6.889, 9.785 and 9.788 Å, with angles of 90.00, 90.00 and 90.00 degrees. The distinct sites, in fractional coordinates, are Be at (0.000, 0.000, 0.247), Be at (0.000, 0.252, 0.000), Zn at (0.000, 0.254, 0.500), Zn at (0.000, 0.500, 0.248), Ni at (0.000, 0.000, 0.000), Ni at (0.000, 0.000, 0.500), Ni at (0.000, 0.248, 0.242), Ni at (0.000, 0.500, 0.000), Ni at (0.000, 0.500, 0.500), Ni at (0.242, 0.123, 0.370) and Ni at (0.244, 0.126, 0.121).